A plane-wave DFT calculation with PBE-GGA was carried out for a relaxed structure of LiNd2ZnIr2.

The space group is Ibam (No. 72) and the conventional cell measures 5.772, 14.704 and 5.798 Å, with angles of 90.00, 90.00 and 90.00 degrees. The distinct sites, in fractional coordinates, are Li at (0.000, 0.000, 0.250), Nd at (0.245, 0.169, 0.000), Zn at (0.000, 0.500, 0.250) and Ir at (0.242, 0.379, 0.000).

The magnetic moment is 0.00 μB per formula unit. As for the formation enthalpy at 0 K: -525 meV/atom. The value obtained for the energy is -5.60 eV/atom.

***

A plane-wave DFT calculation with PBE-GGA was carried out for a relaxed structure of LiNdZrIr.

The space group is F-43m (No. 216) and the conventional cell measures 6.894, 6.894 and 6.894 Å, with angles of 90.00, 90.00 and 90.00 degrees. The distinct sites, in fractional coordinates, are Li at (0.000, 0.000, 0.000), Nd at (0.250, 0.250, 0.750), Zr at (0.250, 0.250, 0.250) and Ir at (0.000, 0.000, 0.500).

The magnetic moment is 0.00 μB per formula unit. As for the formation enthalpy at 0 K: -322 meV/atom. The value obtained for the energy is -6.34 eV/atom.

***

A plane-wave DFT calculation with PBE-GGA was carried out for a relaxed structure of Li2Ni5Ir2.

The space group is Ima2 (No. 46) and the conventional cell measures 10.685, 9.193 and 4.584 Å, with angles of 90.00, 90.00 and 90.00 degrees. The distinct sites, in fractional coordinates, are Li at (0.115, 0.036, 0.000), Ni at (0.056, 0.746, 0.251), Ni at (0.143, 0.199, 0.497), Ni at (0.250, 0.679, 0.505), Ir at (0.000, 0.000, 0.499) and Ir at (0.250, 0.551, 0.004).

The magnetic moment is 3.38 μB per formula unit. As for the formation enthalpy at 0 K: 93 meV/atom. The value obtained for the energy is -5.51 eV/atom.

***

A plane-wave DFT calculation with PBE-GGA was carried out for a relaxed structure of Li2Ni6Ir.

The space group is P4_2/mnm (No. 136) and the conventional cell measures 7.549, 7.549 and 3.590 Å, with angles of 90.00, 90.00 and 90.00 degrees. The distinct sites, in fractional coordinates, are Li at (0.171, 0.171, 0.000), Ni at (0.001, 0.337, 0.500), Ni at (0.166, 0.834, 0.000) and Ir at (0.000, 0.000, 0.500).

The magnetic moment is 3.66 μB per formula unit. As for the formation enthalpy at 0 K: 18 meV/atom. The value obtained for the energy is -5.25 eV/atom.

***

A plane-wave DFT calculation with PBE-GGA was carried out for a relaxed structure of LiNiIr.

The space group is Imm2 (No. 44) and the conventional cell measures 2.556, 3.855 and 7.631 Å, with angles of 90.00, 90.00 and 90.00 degrees. The distinct sites, in fractional coordinates, are Li at (0.000, 0.000, 0.000), Ni at (0.000, 0.000, 0.671) and Ir at (0.000, 0.000, 0.329).

The magnetic moment is 1.00 μB per formula unit. As for the formation enthalpy at 0 K: 14 meV/atom. For the energy above the lowest structure with this stoichiometry, the calculation gives 0.44 eV/f.u. The value obtained for the energy is -5.50 eV/atom.

***

A plane-wave DFT calculation with PBE-GGA was carried out for a relaxed structure of Li2NiIr.

The space group is Pmm2 (No. 25) and the conventional cell measures 2.544, 4.069 and 5.062 Å, with angles of 90.00, 90.00 and 90.00 degrees. The distinct sites, in fractional coordinates, are Li at (0.000, 0.000, 0.000), Li at (0.500, 0.500, 0.228), Ni at (0.000, 0.000, 0.532) and Ir at (0.500, 0.500, 0.713).

The magnetic moment is 0.23 μB per formula unit. As for the formation enthalpy at 0 K: -68 meV/atom. For the energy above the lowest structure with this stoichiometry, the calculation gives 0.43 eV/f.u. The value obtained for the energy is -4.69 eV/atom.